Below is a geometry-optimized Ho3Sb3H2 structure, with properties calculated at the PBE level.

Geometry as extended XYZ:
```
16
Lattice="1.987 -5.719 0.000 1.987 5.719 0.000 0.000 0.000 15.094" Properties=species:S:1:pos:R:3 pbc="T T T"
Ho 1.987 4.049 8.318
Ho 1.987 4.049 14.323
Ho 1.987 3.994 3.774
Ho 1.987 -3.994 11.321
Ho 1.987 -4.049 0.771
Ho 1.987 -4.049 6.776
Sb 1.987 4.240 11.321
Sb 1.987 0.720 9.151
Sb 1.987 0.720 13.490
Sb 1.987 -0.720 1.604
Sb 1.987 -0.720 5.943
Sb 1.987 -4.240 3.774
H 1.987 2.622 0.882
H 1.987 2.622 6.665
H 1.987 -2.622 8.429
H 1.987 -2.622 14.212
```

Results
* total energy: -77.4 eV for the cell shown
* Fermi-level density of states: 3.11 states/eV/f.u.



Below is a geometry-optimized HoSbH2 structure, with properties calculated at the PBE level.

Geometry as extended XYZ:
```
12
Lattice="3.567 0.000 0.000 -1.783 3.089 0.000 0.000 0.000 16.704" Properties=species:S:1:pos:R:3 pbc="T T T"
Ho 0.000 0.000 0.000
Ho 0.000 2.059 11.136
Ho 1.783 1.030 5.568
Sb 0.000 0.000 8.352
Sb 0.000 2.059 2.784
Sb 1.783 1.030 13.920
H 0.000 0.000 5.065
H 0.000 0.000 11.639
H 0.000 2.059 6.071
H 0.000 2.059 16.201
H 1.783 1.030 0.503
H 1.783 1.030 10.633
```

Results
* total energy: -51.7 eV for the cell shown
* Fermi-level density of states: 1.45 states/eV/f.u.



Below is a geometry-optimized Ho5Sb5H2 structure, with properties calculated at the PBE level.

Geometry as extended XYZ:
```
12
Lattice="7.812 -2.194 0.000 7.812 2.194 0.000 -5.513 0.000 9.245" Properties=species:S:1:pos:R:3 pbc="T T T"
Ho 0.000 0.000 0.000
Ho -0.758 0.000 3.764
Ho 3.272 0.000 1.961
Ho 6.839 0.000 7.284
Ho 10.869 0.000 5.481
Sb 1.030 0.000 6.315
Sb 5.632 0.000 0.013
Sb 5.056 0.000 4.622
Sb 4.479 0.000 9.232
Sb 9.081 0.000 2.930
H -4.375 0.000 7.463
H 14.486 0.000 1.782
```

Results
* total energy: -58.3 eV for the cell shown
* Fermi-level density of states: 4.36 states/eV/f.u.



Below is a geometry-optimized Ho4SbH structure, with properties calculated at the PBE level.

Geometry as extended XYZ:
```
12
Lattice="5.969 0.000 0.000 -0.002 5.998 0.000 -1.004 -2.983 8.257" Properties=species:S:1:pos:R:3 pbc="T T T"
Ho 1.159 0.626 0.833
Ho 1.144 3.327 2.556
Ho 0.833 3.350 5.703
Ho 0.821 0.643 7.425
Ho 4.142 2.372 0.832
Ho 4.129 -0.335 2.554
Ho 3.819 -0.312 5.701
Ho 3.804 2.389 7.425
Sb 0.988 0.217 4.126
Sb 3.975 2.798 4.131
H -0.001 2.999 0.000
H 2.985 0.000 0.000
```

Results
* total energy: -54.7 eV for the cell shown
* Fermi-level density of states: 6.70 states/eV/f.u.



Below is a geometry-optimized Ho3SbH structure, with properties calculated at the PBE level.

Geometry as extended XYZ:
```
5
Lattice="4.752 0.000 0.000 0.000 4.752 0.000 0.000 0.000 4.752" Properties=species:S:1:pos:R:3 pbc="T T T"
Ho 0.000 0.000 2.376
Ho 0.000 2.376 0.000
Ho 2.376 0.000 0.000
Sb 2.376 2.376 2.376
H 0.000 0.000 0.000
```

Results
* total energy: -23.8 eV for the cell shown
* Fermi-level density of states: 5.73 states/eV/f.u.



Below is a geometry-optimized Ho3SbH2 structure, with properties calculated at the PBE level.

Geometry as extended XYZ:
```
12
Lattice="10.851 -1.975 0.000 10.851 1.975 0.000 -1.527 0.000 5.893" Properties=species:S:1:pos:R:3 pbc="T T T"
Ho 0.478 0.000 1.645
Ho 4.669 0.000 1.245
Ho 8.448 0.000 0.877
Ho 11.726 0.000 5.016
Ho 15.505 0.000 4.648
Ho 19.696 0.000 4.249
Sb 6.673 0.000 3.500
Sb 13.501 0.000 2.394
H -0.147 0.000 5.468
H 4.834 0.000 5.787
H 15.340 0.000 0.106
H 20.322 0.000 0.426
```

Results
* total energy: -56.3 eV for the cell shown
* Fermi-level density of states: 3.94 states/eV/f.u.



Below is a geometry-optimized Ho5Sb2H structure, with properties calculated at the PBE level.

Geometry as extended XYZ:
```
16
Lattice="6.877 0.000 0.000 0.000 6.877 0.000 0.000 0.000 8.700" Properties=species:S:1:pos:R:3 pbc="T T T"
Ho 0.000 0.000 0.000
Ho 1.721 1.721 2.215
Ho 1.718 1.718 6.565
Ho 1.721 5.157 2.215
Ho 1.718 5.159 6.565
Ho 3.439 3.439 4.350
Ho 5.157 1.721 2.215
Ho 5.159 1.718 6.565
Ho 5.157 5.157 2.215
Ho 5.159 5.159 6.565
Sb 0.000 3.439 0.042
Sb 0.000 3.439 4.392
Sb 3.439 0.000 0.042
Sb 3.439 0.000 4.392
H 0.000 0.000 6.461
H 3.439 3.439 2.111
```

Results
* total energy: -76.7 eV for the cell shown
* Fermi-level density of states: 6.90 states/eV/f.u.



Below is a geometry-optimized Ho4Sb2H structure, with properties calculated at the PBE level.

Geometry as extended XYZ:
```
14
Lattice="4.448 0.000 0.000 0.000 4.448 0.000 0.000 0.000 16.760" Properties=species:S:1:pos:R:3 pbc="T T T"
Ho 0.000 0.000 2.969
Ho 0.000 0.000 13.791
Ho 0.000 2.224 0.000
Ho 0.000 2.224 8.380
Ho 2.224 0.000 0.000
Ho 2.224 0.000 8.380
Ho 2.224 2.224 5.411
Ho 2.224 2.224 11.349
Sb 0.000 0.000 6.069
Sb 0.000 0.000 10.691
Sb 2.224 2.224 2.311
Sb 2.224 2.224 14.449
H 0.000 0.000 0.000
H 2.224 2.224 8.380
```

Results
* total energy: -70.5 eV for the cell shown
* Fermi-level density of states: 5.75 states/eV/f.u.



Below is a geometry-optimized Ho2SbTeH2 structure, with properties calculated at the PBE level.

Geometry as extended XYZ:
```
6
Lattice="3.839 0.000 0.000 -1.920 3.325 0.000 0.000 0.000 9.041" Properties=species:S:1:pos:R:3 pbc="T T T"
Ho 0.000 2.217 2.349
Ho 1.920 1.108 6.692
Sb 0.000 0.000 0.000
Te 0.000 0.000 4.520
H 0.000 2.217 6.713
H 1.920 1.108 2.328
```

Results
* total energy: -28.4 eV for the cell shown
* Fermi-level density of states: 1.07 states/eV/f.u.



Below is a geometry-optimized HoSc2H structure, with properties calculated at the PBE level.

Geometry as extended XYZ:
```
4
Lattice="3.139 0.000 0.000 0.000 3.139 0.000 0.000 0.000 8.070" Properties=species:S:1:pos:R:3 pbc="T T T"
Ho 0.000 0.000 0.000
Sc 1.570 1.570 2.545
Sc 1.570 1.570 5.525
H 0.000 0.000 4.035
```

Results
* total energy: -19.9 eV for the cell shown
* Fermi-level density of states: 5.32 states/eV/f.u.



Below is a geometry-optimized HoSc3H structure, with properties calculated at the PBE level.

Geometry as extended XYZ:
```
5
Lattice="4.662 0.000 0.000 0.000 4.662 0.000 0.000 0.000 4.662" Properties=species:S:1:pos:R:3 pbc="T T T"
Ho 0.000 0.000 0.000
Sc 0.000 2.331 2.331
Sc 2.331 0.000 2.331
Sc 2.331 2.331 0.000
H 2.331 2.331 2.331
```

Results
* total energy: -27.6 eV for the cell shown
* Fermi-level density of states: 4.89 states/eV/f.u.



Below is a geometry-optimized HoScH structure, with properties calculated at the PBE level.

Geometry as extended XYZ:
```
3
Lattice="3.462 0.000 0.000 -1.731 2.998 0.000 0.000 0.000 5.318" Properties=species:S:1:pos:R:3 pbc="T T T"
Ho 0.000 0.000 0.000
Sc 0.000 1.999 2.603
H 1.731 0.999 1.386
```

Results
* total energy: -14.9 eV for the cell shown
* Fermi-level density of states: 3.05 states/eV/f.u.